K4Mo2H6S2O9 | PBE+U | optimized geometry

Computed properties:
size of the total moment	0.57	Bohr magnetons per cell
VASP energy	-494.896	eV for the cell shown

a b c (Å): 10.0250 8.4483 18.9858
angles (deg): 90.00 99.74 90.00
Space group C2/c (No. 15)
Symmetry-distinct sites (fractional):
K 0.0630 0.1966 0.0605 [8 per cell]
K 0.2075 0.0095 0.7846 [8 per cell]
Mo 0.0761 0.3833 0.8801 [8 per cell]
H 0.0036 0.2901 0.2099 [8 per cell]
H 0.2344 0.3114 0.5800 [8 per cell]
H 0.2479 0.0389 0.4657 [8 per cell]
S 0.0672 0.1765 0.6220 [8 per cell]
O 0.0000 0.2153 0.2500 [4 per cell]
O 0.0180 0.4411 0.1496 [8 per cell]
O 0.1637 0.4104 0.9694 [8 per cell]
O 0.1983 0.1076 0.4275 [8 per cell]
O 0.1990 0.3383 0.8255 [8 per cell]